Computed, not measured: a geometry-optimized SiHgAs2 structure at the PBE level of DFT.

Values from the calculation:
**ρ**: 7.85 g/cm3
**ΔE_f (raw)**: 554 meV/atom
**SG**: Pmmm

a b c (Å): 3.608 4.568 4.857
angles (deg): 90.00 90.00 90.00
Positions (direct):
As 0.500 0.500 0.000
As 0.000 0.000 0.000
Si 0.000 0.500 0.500
Hg 0.500 0.000 0.500

***

Computed, not measured: a geometry-optimized CsTiGe2 structure at the PBE level of DFT.

Values from the calculation:
**ρ**: 5.38 g/cm3
**ΔE to the lowest computed polymorph**: 0.588 eV per atom
**Calculated formation energy**: 3.00 eV per formula unit
**SG**: Fm-3m

a b c (Å): 5.221 5.221 5.221
angles (deg): 60.00 60.00 60.00
Last column: magnetic moment on the atom in μB.
Positions (direct):
Ti 0.000 0.000 0.000  1.09
Ge 0.750 0.750 0.750  0.00
Ge 0.250 0.250 0.250  0.00
Cs 0.500 0.500 0.500  -0.01

***

Computed, not measured: a geometry-optimized TlV2PdPb structure at the PBE level of DFT.

Values from the calculation:
**ρ**: 8.22 g/cm3
**Calculated formation energy**: 4.14 eV per formula unit
**SG**: P4/mmm

a b c (Å): 4.943 5.125 4.943
angles (deg): 90.00 90.00 90.00
Last column: magnetic moment on the atom in μB.
Positions (direct):
V 0.000 0.000 0.500  2.25
V 0.500 0.000 0.000  2.81
Pd 0.000 0.000 0.000  -0.02
Pb 0.500 0.500 0.500  -0.07
Tl 0.000 0.500 0.000  -0.04

***

Computed, not measured: a geometry-optimized KNiAu structure at the PBE level of DFT.

Values from the calculation:
**ρ**: 6.85 g/cm3
**ΔE to the lowest computed polymorph**: 0.438 eV per atom
**Calculated formation energy**: 1.81 eV per formula unit
**SG**: F-43m

a b c (Å): 4.659 4.659 4.659
angles (deg): 60.00 60.00 60.00
Last column: magnetic moment on the atom in μB.
Positions (direct):
Au 0.000 0.000 0.000  0.00
K 0.500 0.500 0.500  0.00
Ni 0.750 0.750 0.750  0.33

***

The evaluated total moment for the records listed, in turn: 0.00 1.38 5.77 0.29 Bohr magnetons per cell.